(1)
Here is BeCdOs2 at its PBEsol-relaxed geometry from Alexandria via LeMat-Bulk. Energies are from SCAN.

```
BeCdOs2
1.0
-2.034 1.843 0.474
-2.841 -3.276 0.544
3.380 0.628 3.878
Be Os Cd
1 2 1
Cartesian
-1.421 -1.638 0.272
-2.041 -0.753 2.359
0.545 -0.051 2.536
-1.017 0.922 0.237
```

Properties
**Formation energy from the elements**: 0.278 eV per atom
**Crystal system**: orthorhombic
**Density**: 15.25 g/cm3
**Polymorph energy (0 for the lowest one)**: 0.000 eV per atom

(2)
Here is BeCd2Os at its PBEsol-relaxed geometry from Alexandria via LeMat-Bulk. Energies are from SCAN.

```
BeCd2Os
1.0
-4.390 0.028 -0.509
-2.365 -3.593 1.012
-2.636 0.017 3.547
Be Os Cd
1 1 2
Cartesian
-4.695 -1.774 2.025
-7.043 -2.661 3.038
0.000 0.000 0.000
-2.348 -0.887 1.013
```

Properties
**Formation energy from the elements**: 0.558 eV per atom
**Crystal system**: cubic
**Density**: 11.54 g/cm3